Density functional theory data (GGA+U) for crystalline KAcMo2O8 at its relaxed geometry.

Results
* total DFT energy (no corrections): -7.08 eV/atom
* space-group type: P-3m1 (164)

a b c (Å): 6.228 6.228 7.869
angles (deg): 90.00 90.00 120.00
Sites, in units of the cell vectors:
K 0.000 0.000 0.000
Ac 0.000 0.000 0.500
Mo 0.667 0.333 0.218
Mo 0.333 0.667 0.782
O 0.333 0.667 0.005
O 0.349 0.175 0.293
O 0.825 0.174 0.293
O 0.667 0.333 0.995
O 0.175 0.826 0.707
O 0.651 0.825 0.707
O 0.174 0.349 0.707
O 0.826 0.651 0.293